DFT (GGA-PBE) results for an optimized crystal structure of ZnGe.

abc: 10.1016 5.7695 4.7973
angles: 90.00 90.00 90.00
Last column: nearest neighbours and their distance in Å.
Fractional coordinates of all 16 atoms:
Ge: 0.7461 0.2472 0.0000  8 Ge 2.85-3.18, 4 Zn 2.94-3.00
Ge: 0.0256 0.5000 0.0000  6 Zn 2.74-2.89, 4 Ge 2.99
Ge: 0.4925 0.5000 0.0000  10 Zn 2.82-2.93, 2 Ge 2.95
Ge: 0.7461 0.7528 0.0000  8 Ge 2.85-3.18, 4 Zn 2.94-3.00
Ge: 0.1741 0.0000 0.5000  10 Zn 2.82-2.93, 2 Ge 2.95
Ge: 0.6410 0.0000 0.5000  6 Zn 2.74-2.89, 4 Ge 2.99
Ge: 0.9205 0.2528 0.5000  8 Ge 2.85-3.18, 4 Zn 2.94-3.00
Ge: 0.9205 0.7472 0.5000  8 Ge 2.85-3.18, 4 Zn 2.94-3.00
Zn: 0.0073 0.0000 0.0000  2 Zn 2.87, 10 Ge 2.89-3.00
Zn: 0.4858 0.0000 0.0000  6 Zn 2.73-2.91, 6 Ge 2.87-2.99
Zn: 0.2546 0.2440 0.0000  8 Zn 2.73-2.95, 4 Ge 2.74-2.90
Zn: 0.2546 0.7560 0.0000  8 Zn 2.73-2.95, 4 Ge 2.74-2.90
Zn: 0.4121 0.2560 0.5000  8 Zn 2.73-2.95, 4 Ge 2.74-2.90
Zn: 0.1809 0.5000 0.5000  6 Zn 2.73-2.91, 6 Ge 2.87-2.99
Zn: 0.6594 0.5000 0.5000  2 Zn 2.87, 10 Ge 2.89-3.00
Zn: 0.4121 0.7440 0.5000  8 Zn 2.73-2.95, 4 Ge 2.74-2.90

Output
calculated total energy: -2.728 eV/atom
crystal system: orthorhombic

***

DFT (GGA-PBE) results for an optimized crystal structure of Y2ErSc3Sb2Os.

abc: 4.1848 7.8206 7.8206
angles: 120.07 90.00 90.00
Last column: nearest neighbours and their distance in Å.
Fractional coordinates of all 9 atoms:
Er: 0.0000 0.6072 0.6072  1 Os 3.05, 4 Sb 3.18, 4 Sc 3.39
Os: 0.0000 0.9971 0.9971  6 Sc 2.74-2.76, 1 Er 3.05
Sb: 0.5000 0.6665 0.3347  3 Sc 3.09-3.12, 2 Er 3.18, 4 Y 3.19
Sb: 0.5000 0.3347 0.6665  3 Sc 3.09-3.12, 2 Er 3.18, 4 Y 3.19
Sc: 0.5000 0.2270 0.2270  2 Os 2.76, 2 Sc 3.08
Sc: 0.5000 0.9994 0.7720  2 Os 2.74
Sc: 0.5000 0.7720 0.9994  2 Os 2.74
Y: 0.0000 0.3958 0.0002  1 Os 3.11, 4 Sb 3.19, 4 Sc 3.41
Y: 0.0000 0.0002 0.3958  1 Os 3.11, 4 Sb 3.19, 4 Sc 3.41

Output
calculated total energy: -6.973 eV/atom
M_tot: 0.0 Bohr magnetons per cell
crystal system: orthorhombic

***

DFT (GGA-PBE) results for an optimized crystal structure of NaZnTeIr.

abc: 4.6566 4.6566 4.6566
angles: 60.00 60.00 60.00
Last column: nearest neighbours and their distance in Å.
Fractional coordinates of all 4 atoms:
Ir: 0.2500 0.2500 0.2500  4 Zn 2.85, 4 Te 2.85
Na: 0.7500 0.7500 0.7500  4 Te 2.85, 4 Zn 2.85
Te: 0.5000 0.5000 0.5000  4 Na 2.85, 4 Ir 2.85
Zn: 0.0000 0.0000 0.0000  4 Ir 2.85, 4 Na 2.85

Output
calculated total energy: -3.624 eV/atom
M_tot: 0.0 Bohr magnetons per cell
crystal system: cubic

***

DFT (GGA-PBE) results for an optimized crystal structure of CoAsWAu.

abc: 4.4037 4.4037 4.4037
angles: 60.00 60.00 60.00
Last column: nearest neighbours and their distance in Å.
Fractional coordinates of all 4 atoms:
As: 0.0000 0.0000 0.0000  4 Co 2.70, 4 W 2.70
Au: 0.5000 0.5000 0.5000  4 Co 2.70, 4 W 2.70
Co: 0.7500 0.7500 0.7500  4 As 2.70, 4 Au 2.70
W: 0.2500 0.2500 0.2500  4 Au 2.70, 4 As 2.70

Output
calculated total energy: -6.556 eV/atom
M_tot: 0.3 Bohr magnetons per cell
crystal system: cubic